(1)
Computed, not measured: a relaxed VTc2H2 crystal at the PBE level of DFT.

Cell lengths 6.3005, 6.3005, 2.7540 Å; angles 90.00, 90.00, 90.00 degrees
With the nearest neighbours (Å) after each atom.
Fractional coordinates of all 10 atoms:
1 V 0.0000 0.0000 0.0000  4 Tc 2.46, 8 H 2.62
2 V 0.5000 0.5000 0.0000  4 Tc 2.46, 8 H 2.62
3 Tc 0.1337 0.3663 0.0000  2 H 1.83
4 Tc 0.3663 0.8663 0.0000  2 H 1.83
5 Tc 0.6337 0.1337 0.0000  2 H 1.83
6 Tc 0.8663 0.6337 0.0000  2 H 1.83
7 H 0.2307 0.7307 0.5000  2 Tc 1.83
8 H 0.2693 0.2307 0.5000  2 Tc 1.83
9 H 0.7307 0.7693 0.5000  2 Tc 1.83
10 H 0.7693 0.2693 0.5000  2 Tc 1.83

Output
- E above lowest polymorph: 3.09 eV per formula unit
- Magnetic moment: 0.0 Bohr magnetons per cell
- Space group: P4/mbm, No. 127



(2)
Computed, not measured: a relaxed VTc2H2 crystal at the PBE level of DFT.

Cell lengths 5.7025, 5.7025, 5.7025 Å; angles 149.18, 149.18, 44.15 degrees
With the nearest neighbours (Å) after each atom.
Fractional coordinates of all 5 atoms:
1 V 0.0000 0.0000 0.0000  8 Tc 2.60
2 Tc 0.3607 0.3607 0.0000  4 H 1.91
3 Tc 0.6393 0.6393 0.0000  4 H 1.91
4 H 0.2500 0.7500 0.5000  4 Tc 1.91, 4 H 2.14
5 H 0.7500 0.2500 0.5000  4 Tc 1.91, 4 H 2.14

Output
- E above lowest polymorph: 0.00 eV per formula unit
- Magnetic moment: 0.0 Bohr magnetons per cell
- Space group: I4/mmm, No. 139



(3)
Computed, not measured: a relaxed VTc3H crystal at the PBE level of DFT.

Cell lengths 4.4735, 4.4735, 4.4735 Å; angles 90.00, 90.00, 90.00 degrees
With the nearest neighbours (Å) after each atom.
Fractional coordinates of all 5 atoms:
1 V 0.0000 0.0000 0.0000  6 Tc 2.24
2 Tc 0.0000 0.0000 0.5000  2 V 2.24
3 Tc 0.0000 0.5000 0.0000  2 V 2.24
4 Tc 0.5000 0.0000 0.0000  2 V 2.24
5 H 0.5000 0.5000 0.5000  12 Tc 3.16

Output
- E above lowest polymorph: 9.88 eV per formula unit
- Magnetic moment: 2.0 Bohr magnetons per cell
- Space group: Pm-3m, No. 221



(4)
Computed, not measured: a relaxed VTc3H4 crystal at the PBE level of DFT.

Cell lengths 4.0074, 4.0074, 4.0074 Å; angles 90.00, 90.00, 90.00 degrees
With the nearest neighbours (Å) after each atom.
Fractional coordinates of all 8 atoms:
1 V 0.0000 0.0000 0.0000  6 H 2.00
2 Tc 0.0000 0.5000 0.5000  6 H 2.00
3 Tc 0.5000 0.0000 0.5000  6 H 2.00
4 Tc 0.5000 0.5000 0.0000  6 H 2.00
5 H 0.0000 0.0000 0.5000  4 Tc 2.00, 2 V 2.00
6 H 0.0000 0.5000 0.0000  4 Tc 2.00, 2 V 2.00
7 H 0.5000 0.0000 0.0000  4 Tc 2.00, 2 V 2.00
8 H 0.5000 0.5000 0.5000  6 Tc 2.00

Output
- Energy: -6.803 eV/atom
- Magnetic moment: 0.0 Bohr magnetons per cell
- Space group: Pm-3m, No. 221